Run P
Computed, not measured: an optimized crystal structure of PtSI2O at the PBE level of DFT.

Summary:
Its spin magnetization is 1.16 μB per cell.

Cell: 5.6458 5.6458 3.7884 Å, 90.00 90.00 90.00°
Space group P4/mmm (No. 123)
Inequivalent atoms, fractional coordinates:
Pt 0.0000 0.0000 0.0000 x1
S 0.5000 0.5000 0.5000 x1
I 0.0000 0.5000 0.0000 x2
O 0.0000 0.0000 0.5000 x1

Run Q
Computed, not measured: an optimized crystal structure of PtSI2O at the PBE level of DFT.

Summary:
Its spin magnetization is 0.00 μB per cell.

Cell: 5.5654 5.5654 3.4846 Å, 90.00 90.00 90.00°
Space group P4/mmm (No. 123)
Inequivalent atoms, fractional coordinates:
Pt 0.0000 0.0000 0.0000 x1
S 0.5000 0.5000 0.5000 x1
I 0.0000 0.5000 0.5000 x2
O 0.5000 0.5000 0.0000 x1

Least stable of them? run Q.

Run P
Computed, not measured: an optimized crystal structure of Sb2PtIO at the PBE level of DFT.

Summary:
Its spin magnetization is 0.00 μB per cell.

Cell: 4.4379 4.4379 5.8759 Å, 90.00 90.00 90.00°
Space group P4/mmm (No. 123)
Inequivalent atoms, fractional coordinates:
Sb 0.0000 0.5000 0.0000 x2
Pt 0.0000 0.0000 0.5000 x1
I 0.5000 0.5000 0.5000 x1
O 0.5000 0.5000 0.0000 x1

Run Q
Computed, not measured: an optimized crystal structure of Sb2PtIO at the PBE level of DFT.

Summary:
Its spin magnetization is 0.00 μB per cell.

Cell: 5.2198 5.2198 5.4551 Å, 90.00 90.00 90.00°
Space group P4/mmm (No. 123)
Inequivalent atoms, fractional coordinates:
Sb 0.0000 0.5000 0.0000 x2
Pt 0.0000 0.0000 0.0000 x1
I 0.0000 0.0000 0.5000 x1
O 0.5000 0.5000 0.5000 x1

Least stable of them? run Q.

Run P
Computed, not measured: an optimized crystal structure of SbPtIO2 at the PBE level of DFT.

Summary:
Its spin magnetization is 0.00 μB per cell.

Cell: 3.9249 3.9249 6.7576 Å, 90.00 90.00 90.00°
Space group P4/mmm (No. 123)
Inequivalent atoms, fractional coordinates:
Sb 0.0000 0.0000 0.0000 x1
Pt 0.5000 0.5000 0.5000 x1
I 0.0000 0.0000 0.5000 x1
O 0.0000 0.5000 0.0000 x2

Run Q
Computed, not measured: an optimized crystal structure of SbPtIO2 at the PBE level of DFT.

Summary:
Its spin magnetization is 0.00 μB per cell.

Cell: 4.2411 4.2411 5.2895 Å, 90.00 90.00 90.00°
Space group P4/mmm (No. 123)
Inequivalent atoms, fractional coordinates:
Sb 0.0000 0.0000 0.0000 x1
Pt 0.5000 0.5000 0.5000 x1
I 0.5000 0.5000 0.0000 x1
O 0.0000 0.5000 0.5000 x2

Least stable of them? run Q.

Run P
Computed, not measured: an optimized crystal structure of ScPtIO2 at the PBE level of DFT.

Summary:
Its spin magnetization is 0.00 μB per cell.

Cell: 4.1574 4.1574 5.2249 Å, 90.00 90.00 90.00°
Space group P4/mmm (No. 123)
Inequivalent atoms, fractional coordinates:
Sc 0.0000 0.0000 0.0000 x1
Pt 0.5000 0.5000 0.5000 x1
I 0.5000 0.5000 0.0000 x1
O 0.0000 0.5000 0.5000 x2

Run Q
Computed, not measured: an optimized crystal structure of ScPtIO2 at the PBE level of DFT.

Summary:
Its spin magnetization is 0.00 μB per cell.

Cell: 3.9451 3.9451 6.9352 Å, 90.00 90.00 90.00°
Space group P4/mmm (No. 123)
Inequivalent atoms, fractional coordinates:
Sc 0.0000 0.0000 0.0000 x1
Pt 0.5000 0.5000 0.5000 x1
I 0.0000 0.0000 0.5000 x1
O 0.0000 0.5000 0.0000 x2

Least stable of them? run P.

Run P
Computed, not measured: an optimized crystal structure of TcPtIO2 at the PBE level of DFT.

Summary:
Its spin magnetization is 0.00 μB per cell.

Cell: 3.7965 3.7965 6.0463 Å, 90.00 90.00 90.00°
Space group P4/mmm (No. 123)
Inequivalent atoms, fractional coordinates:
Tc 0.0000 0.0000 0.0000 x1
Pt 0.5000 0.5000 0.5000 x1
I 0.0000 0.0000 0.5000 x1
O 0.0000 0.5000 0.0000 x2

Run Q
Computed, not measured: an optimized crystal structure of TcPtIO2 at the PBE level of DFT.

Summary:
Its spin magnetization is 4.32 μB per cell.

Cell: 3.9207 3.9207 5.7332 Å, 90.00 90.00 90.00°
Space group P4/mmm (No. 123)
Inequivalent atoms, fractional coordinates:
Tc 0.0000 0.0000 0.0000 x1
Pt 0.0000 0.0000 0.5000 x1
I 0.5000 0.5000 0.0000 x1
O 0.0000 0.5000 0.5000 x2

Run R
Computed, not measured: an optimized crystal structure of TcPtIO2 at the PBE level of DFT.

Summary:
Its spin magnetization is 3.96 μB per cell.

Cell: 3.8612 3.8612 7.7021 Å, 90.00 90.00 90.00°
Space group P4/mmm (No. 123)
Inequivalent atoms, fractional coordinates:
Tc 0.0000 0.0000 0.0000 x1
Pt 0.5000 0.5000 0.5000 x1
I 0.5000 0.5000 0.0000 x1
O 0.0000 0.5000 0.5000 x2

Least stable of them? run R.

Run P
Computed, not measured: an optimized crystal structure of TcPtI2O at the PBE level of DFT.

Summary:
Its spin magnetization is 4.91 μB per cell.

Cell: 5.7154 5.7154 3.8087 Å, 90.00 90.00 90.00°
Space group P4/mmm (No. 123)
Inequivalent atoms, fractional coordinates:
Tc 0.0000 0.0000 0.0000 x1
Pt 0.5000 0.5000 0.5000 x1
I 0.0000 0.5000 0.5000 x2
O 0.5000 0.5000 0.0000 x1

Run Q
Computed, not measured: an optimized crystal structure of TcPtI2O at the PBE level of DFT.

Summary:
Its spin magnetization is 0.00 μB per cell.

Cell: 5.4604 5.4604 3.6947 Å, 90.00 90.00 90.00°
Space group P4/mmm (No. 123)
Inequivalent atoms, fractional coordinates:
Tc 0.0000 0.0000 0.0000 x1
Pt 0.5000 0.5000 0.5000 x1
I 0.0000 0.5000 0.0000 x2
O 0.0000 0.0000 0.5000 x1

Least stable of them? run P.

Run P
Computed, not measured: an optimized crystal structure of Te2PtIO at the PBE level of DFT.

Summary:
Its spin magnetization is 0.00 μB per cell.

Cell: 4.3485 4.3485 6.8815 Å, 90.00 90.00 90.00°
Space group P4/mmm (No. 123)
Inequivalent atoms, fractional coordinates:
Te 0.0000 0.5000 0.0000 x2
Pt 0.0000 0.0000 0.5000 x1
I 0.5000 0.5000 0.5000 x1
O 0.5000 0.5000 0.0000 x1

Run Q
Computed, not measured: an optimized crystal structure of Te2PtIO at the PBE level of DFT.

Summary:
Its spin magnetization is 0.00 μB per cell.

Cell: 5.2655 5.2655 5.4687 Å, 90.00 90.00 90.00°
Space group P4/mmm (No. 123)
Inequivalent atoms, fractional coordinates:
Te 0.0000 0.5000 0.0000 x2
Pt 0.0000 0.0000 0.0000 x1
I 0.0000 0.0000 0.5000 x1
O 0.5000 0.5000 0.5000 x1

Least stable of them? run Q.

Run P
Computed, not measured: an optimized crystal structure of TiPtIO2 at the PBE level of DFT.

Summary:
Its spin magnetization is 0.00 μB per cell.

Cell: 3.8695 3.8695 6.9122 Å, 90.00 90.00 90.00°
Space group P4/mmm (No. 123)
Inequivalent atoms, fractional coordinates:
Ti 0.0000 0.0000 0.0000 x1
Pt 0.5000 0.5000 0.5000 x1
I 0.5000 0.5000 0.0000 x1
O 0.0000 0.5000 0.5000 x2

Run Q
Computed, not measured: an optimized crystal structure of TiPtIO2 at the PBE level of DFT.

Summary:
Its spin magnetization is 0.05 μB per cell.

Cell: 3.7985 3.7985 6.4051 Å, 90.00 90.00 90.00°
Space group P4/mmm (No. 123)
Inequivalent atoms, fractional coordinates:
Ti 0.0000 0.0000 0.0000 x1
Pt 0.5000 0.5000 0.5000 x1
I 0.0000 0.0000 0.5000 x1
O 0.0000 0.5000 0.0000 x2

Least stable of them? run P.

Run P
Computed, not measured: an optimized crystal structure of TiPtI2O at the PBE level of DFT.

Summary:
Its spin magnetization is 0.73 μB per cell.

Cell: 5.6566 5.6566 3.8187 Å, 90.00 90.00 90.00°
Space group P4/mmm (No. 123)
Inequivalent atoms, fractional coordinates:
Ti 0.0000 0.0000 0.0000 x1
Pt 0.5000 0.5000 0.5000 x1
I 0.0000 0.5000 0.5000 x2
O 0.5000 0.5000 0.0000 x1

Run Q
Computed, not measured: an optimized crystal structure of TiPtI2O at the PBE level of DFT.

Summary:
Its spin magnetization is 0.33 μB per cell.

Cell: 5.5460 5.5460 3.6830 Å, 90.00 90.00 90.00°
Space group P4/mmm (No. 123)
Inequivalent atoms, fractional coordinates:
Ti 0.0000 0.0000 0.0000 x1
Pt 0.5000 0.5000 0.5000 x1
I 0.0000 0.5000 0.0000 x2
O 0.0000 0.0000 0.5000 x1

Least stable of them? run P.